[1]
Density functional theory data (PBE) for a relaxed Ce8CN3O4 crystal.

## Properties
* calculated total energy: -8.4226 eV per atom
* uncorrected formation energy: -200.6 kJ/mol of atoms
* magnetization: 0.00 μB/cell

abc: 7.1235 7.1235 17.3914
angles: 90.00 90.00 120.00
Space group R-3m (No. 166, hexagonal axes)
Asymmetric unit:
Ce: 0.0000 0.0000 0.2486 (multiplicity 6)
Ce: 0.0018 0.5009 0.7506 (multiplicity 18)
C: 0.0000 0.0000 0.5000 (multiplicity 3)
N: 0.0000 0.5000 0.5000 (multiplicity 9)
O: 0.0000 0.0000 0.0000 (multiplicity 3)
O: 0.0000 0.5000 0.0000 (multiplicity 9)

[2]
Density functional theory data (PBE) for a relaxed Ce2CN2O2 crystal.

## Properties
* calculated total energy: -8.8336 eV per atom
* uncorrected formation energy: -195.4 kJ/mol of atoms
* magnetization: 2.01 μB/cell

abc: 3.9198 3.9198 8.3525
angles: 90.00 90.00 120.00
Space group P-3m1 (No. 164)
Asymmetric unit:
Ce: 0.3333 0.6667 0.3219 (multiplicity 2)
C: 0.0000 0.0000 0.0000 (multiplicity 1)
N: 0.0000 0.0000 0.1482 (multiplicity 2)
O: 0.3333 0.6667 0.6043 (multiplicity 2)

[3]
Density functional theory data (PBE) for a relaxed Ce8C3N3O crystal.

## Properties
* calculated total energy: -8.0141 eV per atom
* uncorrected formation energy: -97.3 kJ/mol of atoms
* magnetization: 0.01 μB/cell

abc: 7.2178 7.2178 17.6257
angles: 90.00 90.00 120.00
Space group R-3m (No. 166, hexagonal axes)
Asymmetric unit:
Ce: 0.0000 0.0000 0.2480 (multiplicity 6)
Ce: 0.0024 0.5012 0.2482 (multiplicity 18)
C: 0.0000 0.5000 0.0000 (multiplicity 9)
N: 0.0000 0.5000 0.5000 (multiplicity 9)
O: 0.0000 0.0000 0.5000 (multiplicity 3)

[4]
Density functional theory data (PBE) for a relaxed Ce8C4NO3 crystal.

## Properties
* calculated total energy: -8.1026 eV per atom
* uncorrected formation energy: -133.1 kJ/mol of atoms
* magnetization: 2.39 μB/cell

abc: 7.2582 7.2582 17.5177
angles: 90.00 90.00 120.00
Space group R-3m (No. 166, hexagonal axes)
Asymmetric unit:
Ce: 0.0000 0.0000 0.2501 (multiplicity 6)
Ce: 0.0016 0.5008 0.2491 (multiplicity 18)
C: 0.0000 0.0000 0.0000 (multiplicity 3)
C: 0.0000 0.5000 0.0000 (multiplicity 9)
N: 0.0000 0.0000 0.5000 (multiplicity 3)
O: 0.0000 0.5000 0.5000 (multiplicity 9)

[5]
Density functional theory data (PBE) for a relaxed CeCN2O crystal.

## Properties
* calculated total energy: -8.6883 eV per atom
* uncorrected formation energy: -128.8 kJ/mol of atoms
* magnetization: 0.00 μB/cell

abc: 6.0026 3.8791 6.6258
angles: 90.00 94.62 90.00
Space group P2_1/m (No. 11)
Asymmetric unit:
Ce: 0.2367 0.2500 0.1233 (multiplicity 2)
C: 0.3610 0.2500 0.6466 (multiplicity 2)
N: 0.2694 0.2500 0.4779 (multiplicity 2)
N: 0.4584 0.2500 0.8231 (multiplicity 2)
O: 0.0624 0.7500 0.1208 (multiplicity 2)

[6]
Density functional theory data (PBE) for a relaxed Ce8C3NO3 crystal.

## Properties
* calculated total energy: -7.9926 eV per atom
* uncorrected formation energy: -138.6 kJ/mol of atoms
* magnetization: 0.00 μB/cell

abc: 7.2175 7.2175 17.4476
angles: 90.00 90.00 120.00
Space group R-3m (No. 166, hexagonal axes)
Asymmetric unit:
Ce: 0.0000 0.0000 0.2487 (multiplicity 6)
Ce: 0.0079 0.5039 0.2484 (multiplicity 18)
C: 0.0000 0.5000 0.0000 (multiplicity 9)
N: 0.0000 0.0000 0.5000 (multiplicity 3)
O: 0.0000 0.5000 0.5000 (multiplicity 9)

[7]
Density functional theory data (PBE) for a relaxed Ce4C2NO crystal.

## Properties
* calculated total energy: -8.1275 eV per atom
* uncorrected formation energy: -115.2 kJ/mol of atoms
* magnetization: 0.17 μB/cell

abc: 5.1089 5.1089 10.2408
angles: 90.00 90.00 90.00
Space group I-4m2 (No. 119)
Asymmetric unit:
Ce: 0.0000 0.0000 0.2471 (multiplicity 4)
Ce: 0.0000 0.5000 0.0006 (multiplicity 4)
C: 0.0000 0.0000 0.5000 (multiplicity 2)
C: 0.0000 0.5000 0.7500 (multiplicity 2)
N: 0.0000 0.0000 0.0000 (multiplicity 2)
O: 0.0000 0.5000 0.2500 (multiplicity 2)

[8]
Density functional theory data (PBE) for a relaxed CePmCN crystal.

## Properties
* calculated total energy: -7.8028 eV per atom
* uncorrected formation energy: -71.8 kJ/mol of atoms
* magnetization: 0.00 μB/cell

abc: 3.6654 3.6654 17.8225
angles: 90.00 90.00 120.00
Space group R3m (No. 160, hexagonal axes)
Asymmetric unit:
Ce: 0.0000 0.0000 0.0000 (multiplicity 3)
Pm: 0.0000 0.0000 0.5017 (multiplicity 3)
C: 0.0000 0.0000 0.7393 (multiplicity 3)
N: 0.0000 0.0000 0.2483 (multiplicity 3)